(1)
Below is crystalline Ac2Pm2PrHo at its relaxed geometry, with properties calculated at the GGA-PBE level.

```
Ac2Pm2PrHo
1.0
-2.360 4.783 -2.610
-5.134 0.339 5.264
6.117 6.060 5.576
Ac Pm Pr Ho
4 4 2 2
Direct
0.500 0.008 0.000
0.000 0.258 0.173
0.500 0.508 0.000
0.000 0.758 0.827
0.000 0.258 0.827
0.500 0.258 0.343
0.000 0.758 0.173
0.500 0.758 0.657
0.000 0.007 0.500
0.000 0.507 0.500
0.500 0.257 0.664
0.500 0.757 0.336
```

Summary:
Crystal system: orthorhombic

***

(2)
Below is crystalline AcPm6Pr2Ho at its relaxed geometry, with properties calculated at the GGA-PBE level.

```
AcPm6Pr2Ho
1.0
-8.660 -4.315 1.728
4.628 -6.269 4.747
-2.435 7.702 4.243
Ac Pm Pr Ho
2 12 4 2
Direct
0.250 0.978 0.022
0.750 0.022 0.978
0.056 0.131 0.748
0.444 0.252 0.869
0.944 0.869 0.252
0.556 0.748 0.131
0.311 0.984 0.435
0.189 0.565 0.016
0.689 0.016 0.565
0.811 0.435 0.984
0.116 0.710 0.498
0.384 0.502 0.290
0.884 0.290 0.502
0.616 0.498 0.710
0.455 0.801 0.686
0.045 0.314 0.199
0.545 0.199 0.314
0.955 0.686 0.801
0.250 0.411 0.589
0.750 0.589 0.411
```

Summary:
Crystal system: monoclinic

***

(3)
Below is crystalline AcPmPr2Ho4 at its relaxed geometry, with properties calculated at the GGA-PBE level.

```
AcPmPr2Ho4
1.0
-3.211 -5.043 -7.611
9.030 -1.987 -2.862
-4.413 0.278 11.196
Ac Pm Pr Ho
2 2 4 8
Direct
0.000 0.500 0.000
0.000 0.500 0.500
0.500 0.500 0.500
0.000 0.000 0.000
0.500 0.000 0.000
0.500 0.000 0.500
0.000 0.000 0.500
0.500 0.500 0.000
0.261 0.764 0.013
0.736 0.239 0.487
0.264 0.761 0.513
0.739 0.236 0.987
0.743 0.759 0.999
0.741 0.757 0.501
0.259 0.243 0.499
0.257 0.241 0.001
```

Summary:
Crystal system: monoclinic

***

(4)
Below is crystalline AcPmPr4Ho2 at its relaxed geometry, with properties calculated at the GGA-PBE level.

```
AcPmPr4Ho2
1.0
-3.389 -3.679 -1.521
1.025 -2.217 -5.907
3.430 -8.394 3.677
Ac Pm Pr Ho
1 1 4 2
Direct
0.500 0.500 0.500
0.000 0.000 0.000
0.123 0.125 0.630
0.373 0.376 0.878
0.877 0.875 0.370
0.627 0.624 0.122
0.744 0.757 0.755
0.256 0.243 0.245
```

Summary:
Crystal system: monoclinic

***

| no. | energy of formation from the pure elements (kJ/mol of formula units) | theoretical density (g cm⁻³) |
| --- | --- | --- |
| 1 | 48 | 7.77 |
| 2 | 113 | 7.15 |
| 3 | 320 | 7.75 |
| 4 | 24 | 7.36 |